Entry 1:
Hf8Zn2In: relaxed, PBE-GGA.

```
Hf8Zn2In
1.0
-4.684 0.833 -1.513
0.665 -7.287 -1.668
-0.627 1.704 7.281
Hf Zn In
8 2 1
direct
0.894 0.916 0.678 Hf
0.894 0.678 0.916 Hf
0.301 0.590 0.590 Hf
0.500 0.765 0.235 Hf
0.500 0.235 0.765 Hf
0.699 0.410 0.410 Hf
0.106 0.322 0.084 Hf
0.106 0.084 0.322 Hf
0.000 0.307 0.693 Zn
0.000 0.693 0.307 Zn
0.500 0.000 0.000 In
```

**Symmetry**: C2/m, No. 12

---

Entry 2:
HfZnIn: relaxed, PBE-GGA.

```
HfZnIn
1.0
3.164 0.000 0.000
0.000 3.164 0.000
-1.582 -1.582 5.965
Zn Hf In
1 1 1
direct
0.954 0.954 0.908 Zn
0.605 0.605 0.211 Hf
0.291 0.291 0.582 In
```

**Symmetry**: I4mm, No. 107

---

Entry 3:
HfZnIn: relaxed, PBE-GGA.

```
HfZnIn
1.0
2.864 0.000 0.918
0.607 6.912 3.031
-0.693 2.575 7.086
Hf Zn In
2 2 2
direct
0.500 0.748 0.252 Hf
0.500 0.252 0.748 Hf
0.148 0.352 0.352 Zn
0.852 0.648 0.648 Zn
0.830 0.170 0.170 In
0.170 0.830 0.830 In
```

**Symmetry**: Immm, No. 71

---

Number 1: calculated total energy -7.648 eV per atom. Number 2: calculated total energy -4.714 eV per atom. Number 3: calculated total energy -4.696 eV per atom.